[1]
24
Lattice="-0.803 -3.976 0.408 2.854 0.044 6.036 -14.765 3.696 6.953" Properties=species:S:1:pos:R:3 comment="TePd4Pb | Alexandria via LeMat-Bulk | GGA-PBE | relaxed" spacegroup=Pnma magnetic_moment_mub_per_atom=0.000 pbc="T T T"
Pd -5.283 0.332 3.019
Pd -11.597 2.404 10.772
Pd 1.671 -0.729 6.356
Pd -0.987 -2.221 6.957
Pd -1.117 -2.639 2.626
Pd -8.278 1.194 5.518
Pd -8.690 1.604 8.700
Pd -4.436 -1.430 7.880
Pd -7.351 -0.888 7.420
Pd -5.363 0.652 5.978
Pd -14.385 0.494 7.042
Pd -0.669 -0.444 4.537
Pd -4.024 -1.840 4.697
Pd -12.045 0.208 8.861
Pd -7.431 -0.568 10.379
Pd -11.728 1.985 6.441
Pb -2.640 0.137 6.315
Pb -10.060 0.003 10.766
Pb -10.074 -0.373 7.083
Pb -2.655 -0.238 2.632
Te -13.428 2.544 8.540
Te 0.713 -2.780 4.858
Te -6.728 -1.296 4.672
Te -5.986 1.060 8.726

***

[2]
4
Lattice="1.924 0.000 11.331 -0.962 1.666 11.331 -0.962 -1.666 11.331" Properties=species:S:1:pos:R:3 comment="Te2PdPb | Alexandria via LeMat-Bulk | GGA-PBE | relaxed" spacegroup=R-3m magnetic_moment_mub_per_atom=0.000 pbc="T T T"
Pd 0.000 0.000 0.000
Te 0.000 0.000 31.414
Te 0.000 0.000 2.578
Pb 0.000 0.000 16.996

***

[3]
14
Lattice="6.007 0.000 0.000 0.000 6.568 0.000 0.000 0.000 8.717" Properties=species:S:1:pos:R:3 comment="Te2Pd3Pb2 | Alexandria via LeMat-Bulk | GGA-PBE | relaxed" spacegroup=Pmmn magnetic_moment_mub_per_atom=0.000 pbc="T T T"
Pd 1.502 0.000 6.537
Pd 4.505 0.000 6.537
Pd 0.000 1.348 0.000
Pd 3.003 5.220 4.358
Pd 4.505 0.000 2.179
Pd 1.502 0.000 2.179
Te 0.000 2.138 2.533
Te 3.003 4.430 6.892
Te 3.003 4.430 1.825
Te 0.000 2.138 6.183
Pb 3.003 1.325 0.000
Pb 0.000 4.913 0.000
Pb 0.000 5.243 4.358
Pb 3.003 1.656 4.358

***

[4]
12
Lattice="-4.391 -3.861 2.098 4.683 -2.353 5.472 -2.305 8.370 1.381" Properties=species:S:1:pos:R:3 comment="TePdPb4 | Alexandria via LeMat-Bulk | GGA-PBE | relaxed" spacegroup=C2/c magnetic_moment_mub_per_atom=0.000 pbc="T T T"
Pd -3.348 2.255 1.739
Pd 1.189 3.009 3.426
Pb -1.413 -2.597 4.277
Pb 0.487 0.514 4.606
Pb -4.287 4.747 2.580
Pb 2.273 -2.591 6.370
Pb -0.594 2.799 1.268
Pb -0.600 4.753 4.674
Pb -2.500 1.642 4.344
Pb -1.420 -0.643 7.683
Te 0.637 -1.058 1.623
Te -2.650 3.214 7.328

***

[5]
8
Lattice="6.401 0.000 0.000 0.000 6.401 0.000 -3.200 -3.200 3.888" Properties=species:S:1:pos:R:3 comment="TePd5Pb2 | Alexandria via LeMat-Bulk | GGA-PBE | relaxed" spacegroup=I4mm magnetic_moment_mub_per_atom=0.000 pbc="T T T"
Pb 3.200 0.000 1.895
Pb 0.000 3.200 1.895
Pd 1.410 -1.410 3.774
Pd 3.201 3.200 1.961
Pd -1.410 -1.410 3.774
Pd -1.410 1.410 3.774
Pd 1.410 1.410 3.774
Te 0.000 0.000 0.742

***

[6]
7
Lattice="-0.429 2.246 3.255 -6.520 0.355 -3.515 -2.276 -4.704 2.899" Properties=species:S:1:pos:R:3 comment="Te2Pd3Pb2 | Alexandria via LeMat-Bulk | GGA-PBE | relaxed" spacegroup=P-1 magnetic_moment_mub_per_atom=0.000 pbc="T T T"
Te -4.154 -2.905 3.842
Te -5.072 0.803 -1.203
Pb -2.383 -1.600 0.801
Pb -6.843 -0.502 1.838
Pd -4.186 0.411 1.604
Pd -5.039 -2.513 1.035
Pd 0.000 0.000 0.000

***

[7]
10
Lattice="-2.995 -2.571 -1.603 0.663 -2.755 3.181 -6.154 7.584 4.997" Properties=species:S:1:pos:R:3 comment="Te2Pd7Pb | Alexandria via LeMat-Bulk | GGA-PBE | relaxed" spacegroup=I4/mmm magnetic_moment_mub_per_atom=0.000 pbc="T T T"
Te -3.661 -0.986 2.761
Te -4.825 3.244 3.814
Pd -2.863 -0.368 0.278
Pd -7.453 2.718 3.906
Pd -1.166 -2.663 0.789
Pd -1.034 -0.460 2.670
Pd -3.329 1.083 4.484
Pd -5.158 1.175 2.092
Pd -5.624 2.626 6.298
Pb 0.000 0.000 0.000

***

[8]
14
Lattice="7.207 0.000 0.000 0.000 6.766 2.561 0.000 -0.383 6.893" Properties=species:S:1:pos:R:3 comment="Te2Pd3Pb2 | Alexandria via LeMat-Bulk | GGA-PBE | relaxed" spacegroup=P2_1/c magnetic_moment_mub_per_atom=0.000 pbc="T T T"
Te 1.259 0.498 4.722
Te 4.863 2.502 3.452
Te 2.344 3.881 6.003
Te 5.947 5.886 4.732
Pb 1.093 4.121 2.567
Pb 2.510 0.738 1.287
Pb 4.696 5.646 8.168
Pb 6.114 2.263 6.887
Pd 7.203 4.828 6.959
Pd 0.003 1.555 2.495
Pd 3.600 4.939 3.775
Pd 0.000 0.000 0.000
Pd 3.603 3.383 1.281
Pd 3.607 1.445 5.679

***

Calculated values (eV/f.u.) of E for the records, taken in order: -29.02, -14.58, -31.91, -23.77, -38.00, -30.97, -48.91, -31.58.
Calculated values (eV per atom) of formation energy without anion corrections for the records, taken in order: -0.23, 0.15, -0.38, -0.10, -0.18, -0.24, -0.26, -0.33.